# 1
Entry from the Alexandria database: an optimized crystal structure of Er3Hf2Zn2 (PBE).

```
Er3Hf2Zn2
1.0
-2.469 -0.257 2.173
2.077 -1.385 2.196
2.118 13.505 6.510
Er Hf Zn
3 2 2
Cartesian
-1.590 3.317 3.595
0.000 0.000 0.000
1.239 9.931 5.089
0.534 7.042 6.450
1.191 4.821 4.429
1.492 10.934 7.999
0.234 0.929 2.881
```

Computed properties:
The calculation puts the raw total energy at -36.357 eV per formula unit.

=====

# 2
Entry from the Alexandria database: an optimized crystal structure of RbCeSeO5 (PBE).

```
RbCeSeO5
1.0
6.458 0.034 -0.033
-1.853 6.187 -0.033
-1.951 -2.636 7.447
Rb Ce Se O
2 2 2 10
Cartesian
0.413 3.489 1.829
2.241 0.096 5.552
-0.976 -1.318 3.724
0.000 0.000 0.000
3.352 1.313 1.829
-0.698 2.272 5.552
-1.841 5.158 1.829
4.495 -1.573 5.552
4.821 1.566 0.857
-2.167 2.019 6.525
3.539 -0.165 2.801
-0.885 3.751 4.580
3.050 2.688 2.885
-0.396 0.897 4.496
1.949 1.201 0.772
0.705 2.384 6.609
```

Computed properties:
The calculation puts the formation energy without anion corrections at -1.83 eV/atom. The calculation puts the raw total energy at -49.856 eV per formula unit.

=====

# 3
Entry from the Alexandria database: an optimized crystal structure of Dy6Y12Th (PBE).

```
Dy6Y12Th
1.0
-2.365 7.574 -3.564
-7.136 -4.601 -1.891
-1.821 1.855 8.301
Dy Y Th
6 12 1
Cartesian
-2.078 1.173 2.605
-7.833 5.370 2.947
-9.100 2.138 3.392
-9.244 3.656 0.241
-3.490 -0.541 -0.101
-2.223 2.691 -0.545
-3.685 4.792 2.478
-5.695 -0.337 3.184
-5.924 2.072 -1.815
-7.637 0.037 0.368
-5.627 5.165 -0.337
-5.398 2.756 4.661
-1.964 3.358 5.183
-7.703 0.454 5.970
-5.583 7.732 2.059
-9.358 1.471 -2.336
-3.619 4.375 -3.124
-5.739 -2.904 0.788
0.000 0.000 0.000
```

Computed properties:
For the relative energy among the computed polymorphs, the calculation gives 0 meV per atom. The calculation puts the raw total energy at -110.028 eV per formula unit.

=====

# 4
Entry from the Alexandria database: an optimized crystal structure of NdBeN2 (PBE).

```
NdBeN2
1.0
-3.563 -0.556 1.157
-1.301 -3.521 0.499
0.029 -1.240 5.695
Be Nd N
1 1 2
Cartesian
0.000 0.000 0.000
-2.417 -2.658 3.675
-0.437 -1.273 4.241
-4.397 -4.043 3.110
```

Computed properties:
The calculation puts the formation energy without anion corrections at -0.60 eV/atom. The calculation puts the raw total energy at -27.550 eV per formula unit.

=====

# 5
Entry from the Alexandria database: an optimized crystal structure of BaLaCd2Ni (PBE).

```
BaLaCd2Ni
1.0
5.368 0.000 0.000
0.000 5.368 0.000
0.000 0.000 5.053
Ni Cd Ba La
1 2 1 1
Cartesian
0.000 0.000 0.000
0.000 2.684 0.000
2.684 0.000 0.000
2.684 2.684 2.526
0.000 0.000 2.526
```

Computed properties:
The calculation puts the raw total energy at -15.562 eV per formula unit.

=====

# 6
Entry from the Alexandria database: an optimized crystal structure of DyY6Tm12 (PBE).

```
DyY6Tm12
1.0
8.908 -0.518 -2.621
-3.361 8.266 -2.621
-0.371 -0.518 9.279
Dy Y Tm
1 6 12
Cartesian
0.000 0.000 0.000
4.906 1.422 3.826
3.653 5.103 -1.160
-0.235 5.103 3.826
1.523 2.127 5.197
0.270 5.808 0.210
5.411 2.127 0.210
7.389 0.178 2.018
2.544 0.778 1.984
1.904 2.659 -0.564
5.259 4.570 2.052
3.272 4.570 4.600
2.632 6.451 2.052
1.418 7.052 -2.638
-1.043 3.615 6.674
-2.213 7.052 2.018
3.758 0.178 6.674
6.219 3.615 -2.638
-0.083 2.659 1.984
```

Computed properties:
For the relative energy among the computed polymorphs, the calculation gives 275 meV per atom. The calculation puts the raw total energy at -88.235 eV per formula unit.

=====

# 7
Entry from the Alexandria database: an optimized crystal structure of Mg3Si4 (PBE).

```
Mg3Si4
1.0
-5.173 -1.152 -0.631
1.729 7.452 0.616
-1.528 -3.677 -7.393
Mg Si
6 8
Cartesian
-2.416 4.104 -4.496
-0.838 1.892 -3.211
-4.286 -1.220 -2.532
-2.136 0.298 -0.740
-1.529 -1.426 -6.886
-4.396 1.888 -6.530
-4.494 -0.973 -6.470
-1.515 -0.914 -3.225
-0.121 4.707 -0.967
-1.555 1.466 -5.930
-3.197 0.174 -4.650
-3.627 1.972 -2.657
-2.261 3.546 -1.222
0.213 4.413 -3.684
```

Computed properties:
For the relative energy among the computed polymorphs, the calculation gives 67 meV per atom. The calculation puts the formation energy without anion corrections at 0.12 eV/atom. The calculation puts the raw total energy at -25.642 eV per formula unit.

=====

# 8
Entry from the Alexandria database: an optimized crystal structure of Ba4CeNb3O12 (PBE).

```
Ba4CeNb3O12
1.0
-6.588 -3.165 0.775
5.248 -5.125 0.449
0.970 4.973 5.323
Ba Ce Nb O
4 1 3 12
Cartesian
-0.184 -1.658 3.274
0.485 2.487 2.662
-3.294 -1.582 0.388
2.624 -2.563 0.225
0.000 0.000 0.000
-2.809 0.904 3.049
-0.670 -4.145 0.612
3.109 -0.076 2.886
1.705 0.376 4.411
-4.140 1.333 4.495
-1.478 0.476 1.604
-2.074 -3.693 2.137
-0.987 -6.109 0.903
-0.352 -2.181 0.322
-3.143 -1.168 3.356
2.775 -2.148 3.193
-1.254 0.866 4.493
4.583 -0.112 4.254
0.885 -4.183 2.056
1.636 -0.040 1.519
```

Computed properties:
The calculation puts the formation energy without anion corrections at -2.83 eV/atom. The calculation puts the raw total energy at -159.909 eV per formula unit.

=====

# 9
Entry from the Alexandria database: an optimized crystal structure of NaSr2BiPt (PBE).

```
NaSr2BiPt
1.0
6.013 0.000 0.000
0.000 5.023 0.000
0.000 0.000 6.013
Sr Bi Pt Na
2 1 1 1
Cartesian
0.000 0.000 3.006
3.006 0.000 0.000
0.000 2.511 0.000
3.006 2.511 3.006
0.000 0.000 0.000
```

Computed properties:
The calculation puts the raw total energy at -12.684 eV per formula unit.

=====

# 10
Entry from the Alexandria database: an optimized crystal structure of RbIrRu2C (PBE).

```
RbIrRu2C
1.0
-0.836 1.322 -4.414
-6.692 -0.991 0.971
-0.452 4.441 1.415
Ru C Ir Rb
2 1 1 1
Cartesian
-0.226 2.221 0.708
-0.418 0.661 -2.207
-3.990 2.386 -1.014
0.000 0.000 0.000
-3.346 -0.495 0.485
```

Computed properties:
The calculation puts the raw total energy at -24.469 eV per formula unit.

=====

# 11
Entry from the Alexandria database: an optimized crystal structure of Pr5HoTl4 (PBE).

```
Pr5HoTl4
1.0
-0.704 -0.848 3.551
-0.763 -3.503 -0.987
21.692 -5.565 2.971
Pr Ho Tl
5 1 4
Cartesian
1.693 -2.798 1.614
5.889 -3.874 2.189
10.113 -4.957 2.767
14.336 -6.041 3.346
18.532 -7.117 3.920
0.000 0.000 0.000
4.515 -1.158 0.618
8.733 -2.240 1.196
12.960 -3.324 1.775
17.177 -4.406 2.352
```

Computed properties:
For the relative energy among the computed polymorphs, the calculation gives 0 meV per atom. The calculation puts the raw total energy at -40.864 eV per formula unit.

=====

# 12
Entry from the Alexandria database: an optimized crystal structure of Ac5Pm4Tl4 (PBE).

```
Ac5Pm4Tl4
1.0
-1.470 2.148 4.417
2.940 -6.367 7.051
7.704 5.628 2.802
Ac Pm Tl
5 4 4
Cartesian
6.891 -0.552 11.489
2.283 1.962 2.782
0.000 0.000 0.000
1.680 -2.528 7.740
7.494 3.938 6.530
5.450 2.561 9.495
3.977 2.125 6.241
3.724 -1.152 4.775
5.198 -0.716 8.029
1.132 0.558 6.057
8.042 0.852 8.214
3.527 -1.507 10.834
5.647 2.917 3.437
```

Computed properties:
The calculation puts the raw total energy at -52.083 eV per formula unit.

=====

# 13
Entry from the Alexandria database: an optimized crystal structure of ReCNO2 (PBE).

```
ReCNO2
1.0
-3.151 1.870 -1.008
-1.536 -0.760 3.391
1.527 3.350 1.442
Re C O N
1 1 2 1
Cartesian
0.000 0.000 0.000
-1.580 2.230 1.913
-0.768 -0.380 1.696
-1.575 0.935 -0.504
0.763 1.675 0.721
```

Computed properties:
The calculation puts the formation energy without anion corrections at 0.90 eV/atom. The calculation puts the raw total energy at -35.424 eV per formula unit.

=====

# 14
Entry from the Alexandria database: an optimized crystal structure of HfTiCo2Cl (PBE).

```
HfTiCo2Cl
1.0
-1.695 -2.529 -3.384
4.551 -2.977 -0.055
-1.827 -2.849 3.044
Co Cl Hf Ti
2 1 1 1
Cartesian
-0.913 -1.424 1.522
-0.848 -1.265 -1.692
0.514 -4.177 -0.197
0.000 0.000 0.000
2.275 -1.488 -0.027
```

Computed properties:
The calculation puts the formation energy without anion corrections at 1.35 eV/atom. The calculation puts the raw total energy at -27.134 eV per formula unit.

=====

# 15
Entry from the Alexandria database: an optimized crystal structure of Ce2ZrCr2N6 (PBE).

```
Ce2ZrCr2N6
1.0
-4.352 2.582 -2.820
0.028 0.224 -5.788
-4.181 -3.902 -3.070
Ce Zr Cr N
2 1 2 6
Cartesian
-5.995 -0.145 -8.730
-2.509 -0.950 -2.948
0.000 0.000 0.000
-4.783 -1.484 -5.878
-3.722 0.388 -5.800
-4.346 1.085 -7.275
-2.097 -0.250 -5.817
-4.361 0.969 -4.282
-4.144 -2.065 -7.396
-6.408 -0.846 -5.861
-4.158 -2.181 -4.404
```

Computed properties:
The calculation puts the formation energy without anion corrections at -0.82 eV/atom. The calculation puts the raw total energy at -98.668 eV per formula unit.

=====

# 16
Entry from the Alexandria database: an optimized crystal structure of YPtCl3 (PBE).

```
YPtCl3
1.0
4.945 0.000 0.000
0.000 4.945 0.000
0.000 0.000 4.945
Y Pt Cl
1 1 3
Cartesian
2.472 2.472 2.472
0.000 0.000 0.000
0.000 2.472 0.000
0.000 0.000 2.472
2.472 0.000 0.000
```

Computed properties:
For the relative energy among the computed polymorphs, the calculation gives 368 meV per atom. The calculation puts the formation energy without anion corrections at -0.36 eV/atom. The calculation puts the raw total energy at -19.863 eV per formula unit.

=====

# 17
Entry from the Alexandria database: an optimized crystal structure of PmAl4Pb (PBE).

```
PmAl4Pb
1.0
-2.628 4.922 1.049
-5.598 0.462 -0.827
-3.498 0.459 4.448
Pb Al Pm
1 4 1
Cartesian
-2.931 1.461 1.168
-5.578 3.422 0.695
-4.529 3.421 3.332
-7.326 3.652 2.919
-6.013 1.192 2.394
0.000 0.000 0.000
```

Computed properties:
The calculation puts the raw total energy at -24.459 eV per formula unit.

=====

# 18
Entry from the Alexandria database: an optimized crystal structure of LiDy2Ga4Pd3 (PBE).

```
LiDy2Ga4Pd3
1.0
3.995 0.000 0.000
0.000 3.995 0.000
0.000 0.000 11.647
Li Dy Ga Pd
1 2 4 3
Cartesian
1.997 1.997 5.824
1.997 0.000 2.855
0.000 1.997 8.792
1.997 1.997 0.000
0.000 0.000 0.000
1.997 0.000 7.439
0.000 1.997 4.208
0.000 0.000 5.824
1.997 0.000 9.968
0.000 1.997 1.679
```

Computed properties:
The calculation puts the raw total energy at -45.815 eV per formula unit.

=====

# 19
Entry from the Alexandria database: an optimized crystal structure of Ta3SnS8 (PBE).

```
Ta3SnS8
1.0
-0.658 -6.900 -0.863
6.281 2.777 1.276
-2.039 -1.458 13.216
Ta Sn S
6 2 16
Cartesian
2.203 -4.946 9.602
-0.644 -2.858 9.393
-0.977 -6.352 8.956
4.698 0.869 3.783
4.365 -2.625 3.346
1.518 -0.537 3.137
-0.289 -5.064 12.448
3.044 -1.110 6.553
3.459 -4.071 1.649
1.131 -3.262 11.105
0.413 -4.562 7.898
-1.691 -1.209 10.960
-0.672 -0.480 4.353
0.572 -1.955 1.437
1.460 0.184 11.536
4.268 -1.875 11.742
3.903 0.311 9.046
0.235 -5.497 0.994
-0.989 -3.924 3.859
1.819 -5.983 4.065
3.746 -0.608 2.003
3.565 -3.231 8.603
2.148 -2.537 4.496
0.678 -1.114 8.392
```

Computed properties:
The calculation puts the formation energy without anion corrections at -0.83 eV/atom. The calculation puts the raw total energy at -82.529 eV per formula unit.

=====

# 20
Entry from the Alexandria database: an optimized crystal structure of TlB (PBE).

```
TlB
1.0
6.323 0.000 0.000
0.000 6.323 0.000
0.000 0.000 4.125
Tl B
4 4
Cartesian
1.358 1.358 0.000
4.519 1.804 2.062
1.804 4.519 2.062
4.966 4.966 0.000
2.594 3.729 0.000
5.755 5.755 2.062
0.568 0.568 2.062
3.729 2.594 0.000
```

Computed properties:
For the relative energy among the computed polymorphs, the calculation gives 389 meV per atom. The calculation puts the raw total energy at -7.291 eV per formula unit.